Entry 1:
Below is an optimized crystal structure of KIn4Pd, with properties calculated at the PBE level.

Cell and atoms, written as extended XYZ:
```
12
Lattice="-3.2582 3.2582 8.5496 3.2582 -3.2582 8.5496 3.2582 3.2582 -8.5496" Properties=species:S:1:pos:R:3 pbc="T T T"
K 0.0000 0.0000 0.0000
K 0.0000 0.0000 8.5496
In 4.3485 1.0903 -2.8258
In 1.0903 2.1679 -2.8258
In 4.3485 1.0903 2.8258
In 1.0903 2.1679 2.8258
In 2.1679 1.0903 5.7238
In -1.0903 2.1679 5.7238
In 2.1679 1.0903 11.3753
In -1.0903 2.1679 11.3753
Pd 0.0000 0.0000 4.2748
Pd 0.0000 0.0000 12.8244
```

Values from the calculation:
Magnetic moment ... 0.000 μB/atom
E_tot ... -36.9 eV/cell
Excess energy over the best structure of this formula in the dataset ... 47 meV/atom


Entry 2:
Below is an optimized crystal structure of KInPd4, with properties calculated at the PBE level.

Cell and atoms, written as extended XYZ:
```
6
Lattice="0.0000 3.8668 3.8668 3.8668 0.0000 3.8668 3.8668 3.8668 0.0000" Properties=species:S:1:pos:R:3 pbc="T T T"
K 0.0000 0.0000 0.0000
In 5.8002 5.8002 5.8002
Pd 2.9038 2.9038 2.9038
Pd 4.8298 4.8298 2.9038
Pd 4.8298 2.9038 4.8298
Pd 2.9038 4.8298 4.8298
```

Values from the calculation:
Magnetic moment ... 0.000 μB/atom
E_tot ... -25.2 eV/cell


Entry 3:
Below is an optimized crystal structure of K2In4Pd, with properties calculated at the PBE level.

Cell and atoms, written as extended XYZ:
```
7
Lattice="-2.6075 2.6075 9.3288 2.6075 -2.6075 9.3288 2.6075 2.6075 -9.3288" Properties=species:S:1:pos:R:3 pbc="T T T"
K 0.0000 0.0000 3.0353
K 0.0000 0.0000 15.6222
In 2.6075 0.0000 0.0000
In 0.0000 0.0000 6.6647
In 0.0000 2.6075 0.0000
In 0.0000 0.0000 11.9929
Pd 0.0000 0.0000 9.3288
```

Values from the calculation:
Magnetic moment ... 0.000 μB/atom
E_tot ... -18.9 eV/cell


The following ΔH_f (0 K) values (in eV per atom) correspond, in order, to the records above: -0.20 -0.11 -0.08.